# 1
Computed, not measured: a relaxed Tl12In5Hg2 crystal at the PBE level of DFT.

a = 10.621 Å, b = 10.621 Å, c = 8.676 Å
α = 107.93°, β = 107.93°, γ = 39.04°
Element x y z (fractional)
Tl  0.008  0.542  0.702
Tl  0.060  0.060  0.184
Tl  0.146  0.649  0.134
Tl  0.351  0.854  0.866
Tl  0.396  0.396  0.610
Tl  0.458  0.992  0.298
Tl  0.542  0.008  0.702
Tl  0.604  0.604  0.390
Tl  0.649  0.146  0.134
Tl  0.854  0.351  0.866
Tl  0.940  0.940  0.816
Tl  0.992  0.458  0.298
In  0.140  0.140  0.573
In  0.253  0.253  0.998
In  0.500  0.500  0.000
In  0.747  0.747  0.002
In  0.860  0.860  0.427
Hg  0.237  0.763  0.500
Hg  0.763  0.237  0.500

Calculated values
Crystal system ... monoclinic
DFT formation energy ... 0.05 eV/atom
DOS(E_F) ... 8.74 states/eV per cell
ΔE to the lowest computed polymorph ... 1.7 kJ per mole of atoms
Energy ... -2.196 eV per atom

***

# 2
Computed, not measured: a relaxed TlIn4Hg3 crystal at the PBE level of DFT.

a = 11.415 Å, b = 11.415 Å, c = 3.401 Å
α = 96.06°, β = 96.06°, γ = 29.92°
Element x y z (fractional)
Tl  0.000  0.000  0.000
In  0.135  0.135  0.638
In  0.379  0.379  0.881
In  0.621  0.621  0.119
In  0.865  0.865  0.362
Hg  0.257  0.257  0.263
Hg  0.500  0.500  0.500
Hg  0.743  0.743  0.737

Calculated values
Crystal system ... monoclinic
DFT formation energy ... 0.01 eV/atom
DOS(E_F) ... 2.94 states/eV per cell
ΔE to the lowest computed polymorph ... 0.0 kJ per mole of atoms
Energy ... -1.765 eV per atom

***

# 3
Computed, not measured: a relaxed Tl2InHg crystal at the PBE level of DFT.

a = 6.330 Å, b = 6.330 Å, c = 6.330 Å
α = 142.95°, β = 130.13°, γ = 63.73°
Element x y z (fractional)
Tl  0.246  0.246  0.000
Tl  0.754  0.754  0.000
In  0.500  0.000  0.500
Hg  0.000  0.500  0.500

Calculated values
Crystal system ... orthorhombic
DFT formation energy ... 0.02 eV/atom
DOS(E_F) ... 1.67 states/eV per cell
ΔE to the lowest computed polymorph ... 2.0 kJ per mole of atoms
Energy ... -1.922 eV per atom

***

# 4
Computed, not measured: a relaxed Tl5InHg crystal at the PBE level of DFT.

a = 4.920 Å, b = 4.920 Å, c = 9.082 Å
α = 90.00°, β = 90.00°, γ = 90.00°
Element x y z (fractional)
Tl  0.000  0.000  0.000
Tl  0.000  0.500  0.274
Tl  0.000  0.500  0.726
Tl  0.500  0.000  0.274
Tl  0.500  0.000  0.726
In  0.500  0.500  0.500
Hg  0.500  0.500  0.000

Calculated values
Crystal system ... tetragonal
DFT formation energy ... 0.07 eV/atom
DOS(E_F) ... 4.92 states/eV per cell
ΔE to the lowest computed polymorph ... 0.0 kJ per mole of atoms
Energy ... -2.056 eV per atom

***

# 5
Computed, not measured: a relaxed TlIn5Hg2 crystal at the PBE level of DFT.

a = 4.321 Å, b = 7.890 Å, c = 13.064 Å
α = 90.00°, β = 98.08°, γ = 90.00°
Element x y z (fractional)
Tl  0.000  0.000  0.000
Tl  0.000  0.500  0.500
In  0.000  0.000  0.500
In  0.000  0.500  0.000
In  0.020  0.004  0.752
In  0.020  0.496  0.252
In  0.496  0.741  0.872
In  0.496  0.759  0.372
In  0.504  0.241  0.628
In  0.504  0.259  0.128
In  0.980  0.504  0.748
In  0.980  0.996  0.248
Hg  0.492  0.236  0.375
Hg  0.492  0.264  0.875
Hg  0.508  0.736  0.125
Hg  0.508  0.764  0.625

Calculated values
Crystal system ... monoclinic
DFT formation energy ... 0.02 eV/atom
DOS(E_F) ... 4.70 states/eV per cell
ΔE to the lowest computed polymorph ... 0.0 kJ per mole of atoms
Energy ... -2.066 eV per atom

***

# 6
Computed, not measured: a relaxed TlIn4Hg3 crystal at the PBE level of DFT.

a = 10.978 Å, b = 10.978 Å, c = 10.978 Å
α = 25.90°, β = 25.90°, γ = 25.90°
Element x y z (fractional)
Tl  0.000  0.000  0.000
In  0.126  0.126  0.126
In  0.383  0.383  0.383
In  0.617  0.617  0.617
In  0.874  0.874  0.874
Hg  0.250  0.250  0.250
Hg  0.500  0.500  0.500
Hg  0.750  0.750  0.750

Calculated values
Crystal system ... trigonal
DFT formation energy ... 0.02 eV/atom
DOS(E_F) ... 3.48 states/eV per cell
ΔE to the lowest computed polymorph ... 1.0 kJ per mole of atoms
Energy ... -1.754 eV per atom

***

# 7
Computed, not measured: a relaxed Tl3In3Hg4 crystal at the PBE level of DFT.

a = 4.063 Å, b = 8.449 Å, c = 8.449 Å
α = 90.33°, β = 90.00°, γ = 90.00°
Element x y z (fractional)
Tl  0.000  0.000  0.000
Tl  0.000  0.183  0.507
Tl  0.000  0.507  0.183
In  0.000  0.677  0.677
In  0.500  0.330  0.837
In  0.500  0.837  0.330
Hg  0.500  0.205  0.205
Hg  0.500  0.488  0.488
Hg  0.500  0.690  0.965
Hg  0.500  0.965  0.690

Calculated values
Crystal system ... orthorhombic
DFT formation energy ... 0.02 eV/atom
DOS(E_F) ... 2.66 states/eV per cell
ΔE to the lowest computed polymorph ... 0.0 kJ per mole of atoms
Energy ... -1.629 eV per atom

***

# 8
Computed, not measured: a relaxed Tm4TlInHg2 crystal at the PBE level of DFT.

a = 9.082 Å, b = 9.082 Å, c = 9.082 Å
α = 33.55°, β = 33.55°, γ = 33.55°
Element x y z (fractional)
Tm  0.125  0.125  0.125
Tm  0.375  0.375  0.375
Tm  0.625  0.625  0.625
Tm  0.875  0.875  0.875
Tl  0.000  0.000  0.000
In  0.500  0.500  0.500
Hg  0.248  0.248  0.248
Hg  0.752  0.752  0.752

Calculated values
Crystal system ... trigonal
DFT formation energy ... -0.41 eV/atom
DOS(E_F) ... 7.64 states/eV per cell
Energy ... -3.359 eV per atom